# ReRhSN2 (GGA-PBE, relaxed)
data_ReRhSN2
_cell_length_a 3.774
_cell_length_b 3.774
_cell_length_c 5.135
_cell_angle_alpha 90.00
_cell_angle_beta 90.00
_cell_angle_gamma 90.00
_space_group_name_H-M_alt 'P 4/m m m'
_space_group_IT_number 123
_space_group_name_Hall '-P 4 2'
loop_
_atom_site_label
_atom_site_type_symbol
_atom_site_fract_x
_atom_site_fract_y
_atom_site_fract_z
Re1 Re 0.000 0.000 0.000
Rh1 Rh 0.500 0.500 0.500
S1 S 0.000 0.000 0.500
N1 N 0.000 0.500 0.000
# Total magnetic moment = 0.173 μB per atom
# DOS at the Fermi energy = 3.87 states/eV/cell
# Uncorrected formation energy = 0.73 eV/atom
# Energy above the most stable polymorph in this dataset = 0 meV per atom